# CaTc2 | Alexandria | PBE | optimized geometry
# **N(E_F)**: 3.41 states/eV/f.u.
# **Excess energy over the best structure of this formula in the dataset**: 589.8 meV/atom
# **Calculated volume**: 20.12 A^3/atom
# **ΔE_f**: 0.840 eV per atom
data_CaTc2
_cell_length_a 3.019
_cell_length_b 7.562
_cell_length_c 5.289
_cell_angle_alpha 90.00
_cell_angle_beta 90.00
_cell_angle_gamma 90.00
_symmetry_space_group_name_H-M 'P n n m'
_symmetry_Int_Tables_number 58
loop_
_symmetry_equiv_pos_as_xyz
'x,y,z'
'-x,-y,-z'
'-x,-y,z'
'x,y,-z'
'x+1/2,-y+1/2,-z+1/2'
'-x+1/2,y+1/2,z+1/2'
'-x+1/2,y+1/2,-z+1/2'
'x+1/2,-y+1/2,z+1/2'
loop_
_atom_site_label
_atom_site_type_symbol
_atom_site_fract_x
_atom_site_fract_y
_atom_site_fract_z
_atom_site_occupancy
Ca1 Ca 0.000 0.000 0.000 1
Tc1 Tc 0.246 0.378 0.000 1